No. 1
This record from Alexandria describes CePu2Br8 after structural relaxation. The functional is PBE-GGA.

Properties
The magnetization is 12.00 Bohr magnetons per cell. The density of states at the Fermi level comes out at 34.43 states/eV/cell. The formation energy without anion corrections is -1.599 eV/atom.

Geometry as POSCAR:
```
CePu2Br8
1.0
-5.732 -5.212 1.845
7.030 -1.724 3.748
-2.306 7.699 1.359
Br Ce Pu
8 1 2
direct
0.008 0.075 0.643
0.155 0.278 0.278
0.588 0.168 0.440
0.723 0.724 0.724
0.588 0.440 0.168
0.405 0.956 0.700
0.008 0.643 0.075
0.405 0.700 0.956
0.221 0.979 0.979
0.450 0.722 0.348
0.450 0.348 0.722
```

---

No. 2
This record from Alexandria describes ScZn2Tc after structural relaxation. The functional is PBE-GGA.

Properties
The magnetization is 0.00 Bohr magnetons per cell. The value obtained for the energy relative to the elements is 0.229 eV per atom. The density of states at the Fermi level comes out at 3.23 states/eV/cell.

Geometry as POSCAR:
```
ScZn2Tc
1.0
-1.630 -1.923 2.890
3.457 -1.187 1.160
1.697 6.211 7.633
Zn Sc Tc
4 2 2
direct
0.083 0.625 0.250
0.875 0.917 0.750
0.375 0.333 0.750
0.667 0.125 0.250
0.250 0.750 0.500
0.500 0.500 0.000
0.000 0.000 0.000
0.750 0.250 0.500
```

---

No. 3
This record from Alexandria describes YErGePd after structural relaxation. The functional is PBE-GGA.

Properties
The magnetization is 0.00 Bohr magnetons per cell. The value obtained for the energy relative to the elements is -0.821 eV per atom. The density of states at the Fermi level comes out at 1.40 states/eV/cell.

Geometry as POSCAR:
```
YErGePd
1.0
4.996 0.000 0.000
2.498 4.326 0.000
2.498 1.442 4.079
Er Ge Pd Y
1 1 1 1
direct
0.000 0.000 0.000
0.250 0.250 0.250
0.750 0.750 0.750
0.500 0.500 0.500
```

---

No. 4
This record from Alexandria describes NbNiTe after structural relaxation. The functional is PBE-GGA.

Properties
The magnetization is 0.00 Bohr magnetons per cell. The density of states at the Fermi level comes out at 5.11 states/eV/cell. The formation energy without anion corrections is -0.157 eV/atom.

Geometry as POSCAR:
```
NbNiTe
1.0
4.357 0.000 0.000
-2.178 3.777 -0.007
0.000 0.003 7.978
Nb Ni Te
2 2 2
direct
0.667 0.333 0.579
0.333 0.667 0.421
0.000 0.000 0.656
0.000 0.000 0.344
0.666 0.333 0.210
0.334 0.667 0.790
```